Record 1
# TmThNi3, relaxed, DFT PBE
# - calculated total energy (eV per atom) = -6.28
# - space-group type = Cmcm
# - energy of formation from the pure elements (eV per atom) = -0.431
# - theoretical density (kg/m3) = 10192
# - density of states at the Fermi level (states/eV/atom) = 0.848
data_TmThNi3
_chemical_formula_sum 'Tm2 Th2 Ni6'
_cell_length_a 4.050
_cell_length_b 3.693
_cell_length_c 12.705
_cell_angle_alpha 98.36
_cell_angle_beta 90.00
_cell_angle_gamma 90.00
_space_group_name_H-M_alt 'P 1'
_space_group_IT_number 1
loop_
_space_group_symop_operation_xyz
'x,y,z'
loop_
_atom_site_label
_atom_site_type_symbol
_atom_site_fract_x
_atom_site_fract_y
_atom_site_fract_z
Tm1 Tm 0.250 0.067 0.134
Th1 Th 0.750 0.195 0.391
Tm2 Tm 0.750 0.933 0.866
Th2 Th 0.250 0.805 0.609
Ni1 Ni 0.750 0.322 0.644
Ni2 Ni 0.250 0.478 0.955
Ni3 Ni 0.250 0.678 0.356
Ni4 Ni 0.750 0.522 0.045
Ni5 Ni 0.750 0.614 0.228
Ni6 Ni 0.250 0.386 0.772



Record 2
# TmTh3Ni8, relaxed, DFT PBE
# - calculated total energy (eV per atom) = -6.47
# - space-group type = R3m
# - energy of formation from the pure elements (eV per atom) = -0.383
# - theoretical density (kg/m3) = 11483
# - density of states at the Fermi level (states/eV/atom) = 0.893
data_TmTh3Ni8
_chemical_formula_sum 'Tm1 Th3 Ni8'
_cell_length_a 5.149
_cell_length_b 5.149
_cell_length_c 8.916
_cell_angle_alpha 73.22
_cell_angle_beta 73.22
_cell_angle_gamma 60.00
_space_group_name_H-M_alt 'P 1'
_space_group_IT_number 1
loop_
_space_group_symop_operation_xyz
'x,y,z'
loop_
_atom_site_label
_atom_site_type_symbol
_atom_site_fract_x
_atom_site_fract_y
_atom_site_fract_z
Th1 Th 0.501 0.501 0.496
Ni1 Ni 0.436 0.436 0.192
Ni2 Ni 0.442 0.938 0.683
Tm1 Tm 0.875 0.875 0.375
Ni3 Ni 0.188 0.188 0.437
Ni4 Ni 0.938 0.938 0.683
Ni5 Ni 0.936 0.436 0.192
Ni6 Ni 0.688 0.688 0.937
Th2 Th 0.374 0.374 0.877
Th3 Th 0.999 0.999 0.003
Ni7 Ni 0.938 0.442 0.683
Ni8 Ni 0.436 0.936 0.192



Question: Look up the theoretical density of the second one.
Answer: 11483 kg/m3



Question: Which value of theoretical density does entry 1 give?
Answer: 10192 kg/m3



Question: The lowest density of states at the Fermi level belongs to which entry?
Answer: TmThNi3